Material: Ba2UCl3O3
Method: DFT, PBE-GGA
State: relaxed

The structure in POSCAR format:
```
Ba2UCl3O3
1.0
-0.4339 0.8963 3.3158
-5.3183 -6.0456 0.9382
7.8839 -1.2866 1.3794
Ba U Cl O
2 1 3 3
direct
0.5000 0.3333 0.6667 Ba
0.5000 0.6667 0.3333 Ba
0.0000 0.0000 0.0000 U
0.0000 0.0000 0.4120 Cl
0.0000 0.5880 0.5880 Cl
0.0000 0.4120 0.0000 Cl
0.5000 0.8182 0.0000 O
0.5000 0.1818 0.1818 O
0.5000 0.0000 0.8182 O
```

Properties
Calculated volume, Å³ per cell: 197
Total magnetic moment, μB/f.u.: 0.83
Raw formation energy, eV per atom: -2.381